Record 1
Density functional theory data (PBE) for an optimized crystal structure of NiMo2Rh.

Results
The value obtained for the energy above the most stable polymorph in this dataset is 0.2006 eV/atom. Its density of states at the Fermi level is 4.439 states/eV/cell. As for the space group: R-3m, No. 166.

Cell: 9.0243 9.0243 9.0243 Å, 17.40 17.40 17.40°
Closest atoms and distances in Å follow each position.
Element x y z (fractional)
Mo (0.9983, 0.9983, 0.9983)  3 Ni 2.69, 6 Mo 2.73, 3 Rh 2.76
Mo (0.5017, 0.5017, 0.5017)  3 Ni 2.69, 6 Mo 2.73, 3 Rh 2.76
Ni (0.2500, 0.2500, 0.2500)  6 Mo 2.69, 6 Ni 2.73
Rh (0.7500, 0.7500, 0.7500)  6 Rh 2.73, 6 Mo 2.76



Record 2
Density functional theory data (PBE) for an optimized crystal structure of K4Th3FeS8.

Results
Its density of states at the Fermi level is 8.750 states/eV/cell. The uncorrected formation energy comes out at -1.46 eV/atom. As for the space group: R-3m, No. 166.

Cell: 8.1249 8.8000 8.1246 Å, 117.49 120.00 90.00°
Closest atoms and distances in Å follow each position.
Element x y z (fractional)
K (0.5000, 0.0000, 0.0000)  6 S 3.27
K (0.5000, 0.0000, 0.5000)  6 S 3.15-3.21
K (0.0000, 0.0000, 0.0000)  6 S 3.15-3.21
K (0.0000, 0.0000, 0.5000)  6 S 3.15-3.21
Th (0.5000, 0.5000, 0.0000)  6 S 2.81-2.85
Th (0.5000, 0.5000, 0.5000)  6 S 2.81-2.85
Th (0.0000, 0.5000, 0.5000)  6 S 2.81-2.85
Fe (0.0000, 0.5000, 0.0000)  6 S 2.74
S (0.2304, 0.7023, 0.9719)  1 Fe 2.74, 2 Th 2.81
S (0.2303, 0.7022, 0.4606)  1 Fe 2.74, 2 Th 2.81
S (0.2610, 0.2829, 0.5219)  3 Th 2.85, 3 K 3.15
S (0.7415, 0.7023, 0.9719)  1 Fe 2.74, 2 Th 2.81
S (0.2585, 0.2977, 0.0281)  1 Fe 2.74, 2 Th 2.81
S (0.7390, 0.7171, 0.4781)  3 Th 2.85, 3 K 3.15
S (0.7697, 0.2978, 0.5394)  1 Fe 2.74, 2 Th 2.81
S (0.7696, 0.2977, 0.0281)  1 Fe 2.74, 2 Th 2.81



no.,total magnetization (μB/f.u.)
1,0.0
2,2.6